Crystalline ZrCr2Bi at its relaxed geometry. Source: the Alexandria database, functional PBE-GGA.

abc: 4.1181 4.1181 9.9499
angles: 78.06 78.06 90.00
Positions (direct):
Bi1 0.0000 0.0000 0.0000
Bi2 0.7500 0.2500 0.5000
Cr1 0.8750 0.7842 0.7500
Cr2 0.2158 0.6250 0.2500
Cr3 0.5342 0.1250 0.2500
Cr4 0.3750 0.4658 0.7500
Zr1 0.5000 0.5000 0.0000
Zr2 0.2500 0.7500 0.5000

Values from the calculation:
Spin magnetization   0.000 μB/atom
E_tot   -0.5164 Ry/atom
Formation energy   86.21 kJ/mol of atoms

---

Crystalline BaNbIO6 at its relaxed geometry. Source: the Alexandria database, functional PBE-GGA.

abc: 5.6489 5.6540 5.7155
angles: 90.03 90.02 59.96
Positions (direct):
I1 0.3335 0.3330 0.4646
O1 0.0135 0.4134 0.2911
O2 0.6778 0.3645 0.6986
O3 0.9584 0.6784 0.6971
O4 0.4141 0.5722 0.2911
O5 0.3629 0.9591 0.6969
O6 0.5728 0.0135 0.2906
Ba1 0.0004 0.9996 0.0177
Nb1 0.6665 0.6665 0.5522

Values from the calculation:
Spin magnetization   0.000 μB/atom
E_tot   -0.4897 Ry/atom
Formation energy from raw total energies   -1.852 eV per atom

---

Crystalline ZrNbSe3 at its relaxed geometry. Source: the Alexandria database, functional PBE-GGA.

abc: 3.5329 6.9127 11.2612
angles: 90.00 90.00 104.79
Each line ends with the local moment (μB).
Positions (direct):
Zr1 0.7163 0.9313 0.7500  0.03
Zr2 0.2837 0.0687 0.2500  0.03
Nb1 0.9877 0.4756 0.2500  0.32
Nb2 0.0123 0.5244 0.7500  0.32
Se1 0.8604 0.2220 0.4131  0.00
Se2 0.3749 0.2494 0.7500  0.00
Se3 0.1396 0.7780 0.5869  0.00
Se4 0.1396 0.7780 0.9131  0.00
Se5 0.8604 0.2220 0.0869  0.00
Se6 0.6251 0.7506 0.2500  0.00

Values from the calculation:
Spin magnetization   0.091 μB/atom
E_tot   -0.4858 Ry/atom
Formation energy from raw total energies   -0.796 eV per atom
Offset from the most stable computed form   0 meV/atom